# 1
DFT (PBE) results for a geometry-optimized GaHgPb structure. Values from VASP.

The structure in Quantum ESPRESSO input format:
```
&SYSTEM
  ibrav = 0, nat = 12, ntyp = 3
/
ATOMIC_SPECIES
Ga 69.72 Ga.upf
Hg 200.59 Hg.upf
Pb 207.20 Pb.upf
CELL_PARAMETERS angstrom
3.243 0.000 0.000
0.000 24.602 0.000
0.000 0.000 4.059
ATOMIC_POSITIONS crystal
Ga 0.000 0.036 0.250
Ga 0.000 0.964 0.750
Ga 0.500 0.464 0.750
Ga 0.500 0.536 0.250
Hg 0.000 0.289 0.750
Hg 0.000 0.711 0.250
Hg 0.500 0.211 0.250
Hg 0.500 0.789 0.750
Pb 0.000 0.393 0.250
Pb 0.000 0.607 0.750
Pb 0.500 0.107 0.750
Pb 0.500 0.893 0.250
```

## Properties
DFT formation energy	1.73	kcal/mol of atoms
energy relative to the lowest polymorph listed for this composition	0.05	eV/f.u.
energy	-2.27	eV per atom
symmetry	Cmcm
mass density	9.79	Mg/m³


# 2
DFT (PBE) results for a geometry-optimized Ce4TiO10 structure. Values from VASP.

The structure in Quantum ESPRESSO input format:
```
&SYSTEM
  ibrav = 0, nat = 15, ntyp = 3
/
ATOMIC_SPECIES
Ce 140.12 Ce.upf
Ti 47.87 Ti.upf
O 16.00 O.upf
CELL_PARAMETERS angstrom
1.914 1.105 15.100
-1.914 1.105 15.100
0.000 -2.210 15.100
ATOMIC_POSITIONS crystal
Ce 0.106 0.106 0.106
Ce 0.298 0.298 0.298
Ce 0.702 0.702 0.702
Ce 0.894 0.894 0.894
Ti 0.500 0.500 0.500
O 0.053 0.053 0.053
O 0.156 0.156 0.156
O 0.245 0.245 0.245
O 0.351 0.351 0.351
O 0.457 0.457 0.457
O 0.543 0.543 0.543
O 0.649 0.649 0.649
O 0.755 0.755 0.755
O 0.844 0.844 0.844
O 0.947 0.947 0.947
```

## Properties
ΔE_f (raw)	-49.2	eV per formula unit
energy	-8.69	eV per atom
symmetry	R-3m
mass density	6.66	Mg/m³